# RbCdPd4 (PBE-GGA, relaxed)
data_RbCdPd4
_cell_length_a 7.815
_cell_length_b 7.815
_cell_length_c 7.815
_cell_angle_alpha 90.00
_cell_angle_beta 90.00
_cell_angle_gamma 90.00
_symmetry_space_group_name_H-M 'F -4 3 m'
_symmetry_Int_Tables_number 216
_symmetry_space_group_name_Hall 'F -4 2 3'
loop_
_atom_site_label
_atom_site_type_symbol
_atom_site_fract_x
_atom_site_fract_y
_atom_site_fract_z
_atom_site_occupancy
Rb1 Rb 0.000 0.000 0.000 1
Cd1 Cd 0.250 0.250 0.750 1
Pd1 Pd 0.124 0.124 0.376 1
# Fermi-level density of states in states/eV per atom: 1.61
# ΔH_f (0 K) in eV/f.u.: 0.4

***

# CeTmMnTc (PBE-GGA, relaxed)
data_CeTmMnTc
_cell_length_a 6.875
_cell_length_b 6.875
_cell_length_c 6.875
_cell_angle_alpha 90.00
_cell_angle_beta 90.00
_cell_angle_gamma 90.00
_symmetry_space_group_name_H-M 'F -4 3 m'
_symmetry_Int_Tables_number 216
_symmetry_space_group_name_Hall 'F -4 2 3'
loop_
_atom_site_label
_atom_site_type_symbol
_atom_site_fract_x
_atom_site_fract_y
_atom_site_fract_z
_atom_site_occupancy
Ce1 Ce 0.000 0.000 0.000 1
Tm1 Tm 0.000 0.000 0.500 1
Mn1 Mn 0.250 0.250 0.250 1
Tc1 Tc 0.250 0.250 0.750 1
# Fermi-level density of states in states/eV per atom: 1.50
# ΔH_f (0 K) in eV/f.u.: 0.3

***

# CaTeN2F (PBE-GGA, relaxed)
data_CaTeN2F
_cell_length_a 4.657
_cell_length_b 4.657
_cell_length_c 4.118
_cell_angle_alpha 90.00
_cell_angle_beta 90.00
_cell_angle_gamma 90.00
_symmetry_space_group_name_H-M 'P 4/m m m'
_symmetry_Int_Tables_number 123
_symmetry_space_group_name_Hall '-P 4 2'
loop_
_atom_site_label
_atom_site_type_symbol
_atom_site_fract_x
_atom_site_fract_y
_atom_site_fract_z
_atom_site_occupancy
Ca1 Ca 0.000 0.000 0.000 1
Te1 Te 0.500 0.500 0.500 1
N1 N 0.000 0.500 0.000 1
F1 F 0.000 0.000 0.500 1
# Energy relative to the lowest polymorph listed for this composition in meV per atom: 713
# Fermi-level density of states in states/eV per atom: 0.59

***

Please write out number 1 again, unchanged.
# RbCdPd4 (PBE-GGA, relaxed)
data_RbCdPd4
_cell_length_a 7.815
_cell_length_b 7.815
_cell_length_c 7.815
_cell_angle_alpha 90.00
_cell_angle_beta 90.00
_cell_angle_gamma 90.00
_symmetry_space_group_name_H-M 'F -4 3 m'
_symmetry_Int_Tables_number 216
_symmetry_space_group_name_Hall 'F -4 2 3'
loop_
_atom_site_label
_atom_site_type_symbol
_atom_site_fract_x
_atom_site_fract_y
_atom_site_fract_z
_atom_site_occupancy
Rb1 Rb 0.000 0.000 0.000 1
Cd1 Cd 0.250 0.250 0.750 1
Pd1 Pd 0.124 0.124 0.376 1
# Fermi-level density of states in states/eV per atom: 1.61
# ΔH_f (0 K) in eV/f.u.: 0.4

***

Which value of Fermi-level density of states does entry 3 give? 0.59 states/eV per atom

***

The lowest Fermi-level density of states belongs to which entry? CaTeN2F

***

Which formula does entry 3 have? CaTeN2F